Sm2Si2MoWC: optimized geometry, GGA-PBE.

As for the crystal system: monoclinic.

```
Sm2Si2MoWC
1.0
5.590 -1.950 0.000
5.590 1.950 0.000
-4.228 0.000 5.894
Sm Si Mo W C
2 2 1 1 1
Direct
0.000 0.000 0.000
0.151 0.151 0.599
0.442 0.442 0.631
0.709 0.709 0.968
0.370 0.370 0.218
0.782 0.782 0.380
0.577 0.577 0.300
```

=====

SmYSi2Mo2C: optimized geometry, GGA-PBE.

As for the crystal system: monoclinic.

```
SmYSi2Mo2C
1.0
5.586 -1.927 0.000
5.586 1.927 0.000
-4.210 0.000 5.851
Sm Y Si Mo C
1 1 2 2 1
Direct
0.000 0.000 0.000
0.150 0.150 0.595
0.444 0.444 0.631
0.708 0.708 0.965
0.370 0.370 0.217
0.782 0.782 0.382
0.578 0.578 0.304
```

=====

SiSnMo4C2: optimized geometry, GGA-PBE.

As for the crystal system: hexagonal.

```
SiSnMo4C2
1.0
3.181 0.000 0.000
-1.591 2.755 0.000
0.000 0.000 12.759
Si Sn Mo C
1 1 4 2
Direct
0.000 0.000 0.000
0.333 0.667 0.500
0.000 0.000 0.317
0.000 0.000 0.683
0.333 0.667 0.142
0.333 0.667 0.858
0.667 0.333 0.237
0.667 0.333 0.763
```

=====

Ta4Si3Mo2C3: optimized geometry, GGA-PBE.

As for the crystal system: monoclinic.

```
Ta4Si3Mo2C3
1.0
4.757 -2.748 0.000
4.757 2.748 0.000
-3.185 0.000 12.408
Ta Si Mo C
8 6 4 6
Direct
0.031 0.202 0.100
0.135 0.300 0.400
0.202 0.031 0.600
0.300 0.135 0.900
0.700 0.865 0.100
0.798 0.969 0.400
0.865 0.700 0.600
0.969 0.798 0.900
0.122 0.878 0.250
0.287 0.417 0.749
0.417 0.287 0.249
0.583 0.713 0.751
0.713 0.583 0.251
0.878 0.122 0.750
0.364 0.529 0.087
0.471 0.636 0.413
0.529 0.364 0.587
0.636 0.471 0.913
0.000 0.500 0.000
0.152 0.674 0.500
0.326 0.848 0.000
0.500 0.000 0.500
0.674 0.152 0.000
0.848 0.326 0.500
```

=====

Tb2SiMo2C2: optimized geometry, GGA-PBE.

As for the crystal system: monoclinic.

```
Tb2SiMo2C2
1.0
6.595 -1.637 0.000
6.595 1.637 0.000
-0.849 0.000 5.659
Tb Si Mo C
2 1 2 2
Direct
0.134 0.134 0.380
0.866 0.866 0.620
0.500 0.500 0.000
0.331 0.331 0.111
0.669 0.669 0.889
0.246 0.246 0.766
0.754 0.754 0.234
```

=====

TlSiMo4C2: optimized geometry, GGA-PBE.

As for the crystal system: hexagonal.

```
TlSiMo4C2
1.0
3.164 0.000 0.000
-1.582 2.740 0.000
0.000 0.000 13.056
Tl Si Mo C
1 1 4 2
Direct
0.000 0.000 0.000
0.667 0.333 0.500
0.000 0.000 0.360
0.000 0.000 0.640
0.667 0.333 0.188
0.667 0.333 0.812
0.333 0.667 0.267
0.333 0.667 0.733
```

=====

Tm2Si2MoWC: optimized geometry, GGA-PBE.

As for the crystal system: monoclinic.

```
Tm2Si2MoWC
1.0
5.538 -1.896 0.000
5.538 1.896 0.000
-4.097 0.000 5.743
Tm Si Mo W C
2 2 1 1 1
Direct
0.000 0.000 0.000
0.148 0.148 0.588
0.443 0.443 0.635
0.705 0.705 0.953
0.367 0.367 0.208
0.781 0.781 0.379
0.575 0.575 0.294
```

=====

YTmSi2Mo2C: optimized geometry, GGA-PBE.

As for the crystal system: monoclinic.

```
YTmSi2Mo2C
1.0
5.564 -1.898 0.000
5.564 1.898 0.000
-4.143 0.000 5.782
Y Tm Si Mo C
1 1 2 2 1
Direct
0.000 0.000 0.000
0.850 0.850 0.409
0.294 0.294 0.042
0.555 0.555 0.367
0.218 0.218 0.617
0.630 0.630 0.788
0.423 0.423 0.700
```

=====

Y2Si2MoWC: optimized geometry, GGA-PBE.

As for the crystal system: monoclinic.

```
Y2Si2MoWC
1.0
5.553 -1.921 0.000
5.553 1.921 0.000
-4.141 0.000 5.807
Y Si Mo W C
2 2 1 1 1
Direct
0.000 0.000 0.000
0.149 0.149 0.593
0.442 0.442 0.634
0.707 0.707 0.960
0.368 0.368 0.212
0.782 0.782 0.380
0.576 0.576 0.297
```

=====

Sm2Mo2C3: optimized geometry, GGA-PBE.

As for the crystal system: monoclinic.

```
Sm2Mo2C3
1.0
6.019 -1.704 0.000
6.019 1.704 0.000
-2.396 0.000 5.327
Sm Mo C
2 2 3
Direct
0.108 0.108 0.319
0.892 0.892 0.681
0.340 0.340 0.177
0.660 0.660 0.823
0.250 0.250 0.773
0.500 0.500 0.500
0.750 0.750 0.227
```

=====

Sn2MoC: optimized geometry, GGA-PBE.

As for the crystal system: hexagonal.

```
Sn2MoC
1.0
3.239 0.000 0.000
-1.619 2.805 0.000
0.000 0.000 14.524
Sn Mo C
4 2 2
Direct
0.333 0.667 0.099
0.333 0.667 0.401
0.667 0.333 0.599
0.667 0.333 0.901
0.333 0.667 0.750
0.667 0.333 0.250
0.000 0.000 0.000
0.000 0.000 0.500
```

=====

Ta2Sn3Mo4C3: optimized geometry, GGA-PBE.

As for the crystal system: monoclinic.

```
Ta2Sn3Mo4C3
1.0
4.829 -2.786 0.000
4.829 2.786 0.000
-3.266 0.000 13.609
Ta Sn Mo C
4 6 8 6
Direct
0.028 0.856 0.584
0.144 0.972 0.916
0.856 0.028 0.084
0.972 0.144 0.416
0.082 0.263 0.749
0.263 0.082 0.249
0.430 0.570 0.750
0.570 0.430 0.250
0.737 0.918 0.751
0.918 0.737 0.251
0.194 0.369 0.081
0.313 0.463 0.419
0.369 0.194 0.581
0.463 0.313 0.919
0.537 0.687 0.081
0.631 0.806 0.419
0.687 0.537 0.581
0.806 0.631 0.919
0.000 0.500 0.500
0.164 0.674 0.000
0.326 0.836 0.500
0.500 0.000 0.000
0.674 0.164 0.500
0.836 0.326 0.000
```

=====

Ta4Sn3Mo2C3: optimized geometry, GGA-PBE.

As for the crystal system: monoclinic.

```
Ta4Sn3Mo2C3
1.0
4.866 -2.800 0.000
4.866 2.800 0.000
-3.288 0.000 13.739
Ta Sn Mo C
8 6 4 6
Direct
0.021 0.202 0.083
0.146 0.305 0.417
0.202 0.021 0.583
0.305 0.146 0.917
0.695 0.854 0.083
0.798 0.979 0.417
0.854 0.695 0.583
0.979 0.798 0.917
0.090 0.910 0.250
0.262 0.414 0.749
0.414 0.262 0.249
0.586 0.738 0.751
0.738 0.586 0.251
0.910 0.090 0.750
0.370 0.528 0.081
0.472 0.630 0.419
0.528 0.370 0.581
0.630 0.472 0.919
0.000 0.500 0.000
0.159 0.670 0.500
0.330 0.841 0.000
0.500 0.000 0.500
0.670 0.159 0.000
0.841 0.330 0.500
```

=====

Sn3Mo2W4C3: optimized geometry, GGA-PBE.

As for the crystal system: monoclinic.

```
Sn3Mo2W4C3
1.0
4.808 -2.770 0.000
4.808 2.770 0.000
-3.193 0.000 13.517
Sn Mo W C
6 4 8 6
Direct
0.079 0.921 0.750
0.248 0.415 0.249
0.415 0.248 0.749
0.585 0.752 0.251
0.752 0.585 0.751
0.921 0.079 0.250
0.369 0.530 0.584
0.470 0.631 0.916
0.530 0.369 0.084
0.631 0.470 0.416
0.018 0.201 0.580
0.149 0.306 0.920
0.201 0.018 0.080
0.306 0.149 0.420
0.694 0.851 0.580
0.799 0.982 0.920
0.851 0.694 0.080
0.982 0.799 0.420
0.000 0.500 0.500
0.160 0.669 0.000
0.331 0.840 0.500
0.500 0.000 0.000
0.669 0.160 0.500
0.840 0.331 0.000
```

=====

Sn3Mo4W2C3: optimized geometry, GGA-PBE.

As for the crystal system: monoclinic.

```
Sn3Mo4W2C3
1.0
4.805 -2.770 0.000
4.805 2.770 0.000
-3.144 0.000 13.511
Sn Mo W C
6 8 4 6
Direct
0.084 0.916 0.750
0.255 0.415 0.250
0.415 0.255 0.750
0.585 0.745 0.250
0.745 0.585 0.750
0.916 0.084 0.250
0.036 0.185 0.582
0.130 0.308 0.918
0.185 0.036 0.082
0.308 0.130 0.418
0.692 0.870 0.582
0.815 0.964 0.918
0.870 0.692 0.082
0.964 0.815 0.418
0.351 0.525 0.579
0.475 0.649 0.921
0.525 0.351 0.079
0.649 0.475 0.421
0.000 0.500 0.500
0.173 0.664 0.000
0.336 0.827 0.500
0.500 0.000 0.000
0.664 0.173 0.500
0.827 0.336 0.000
```

=====

Y4Sn3Mo2C3: optimized geometry, GGA-PBE.

As for the crystal system: monoclinic.

```
Y4Sn3Mo2C3
1.0
5.160 -3.023 0.000
5.160 3.023 0.000
-3.418 0.000 14.637
Y Sn Mo C
8 6 4 6
Direct
0.040 0.189 0.093
0.126 0.302 0.407
0.189 0.040 0.593
0.302 0.126 0.907
0.698 0.874 0.093
0.811 0.960 0.407
0.874 0.698 0.593
0.960 0.811 0.907
0.140 0.860 0.250
0.293 0.418 0.752
0.418 0.293 0.252
0.582 0.707 0.748
0.707 0.582 0.248
0.860 0.140 0.750
0.343 0.523 0.070
0.477 0.657 0.430
0.523 0.343 0.570
0.657 0.477 0.930
0.000 0.500 0.000
0.204 0.648 0.500
0.352 0.796 0.000
0.500 0.000 0.500
0.648 0.204 0.000
0.796 0.352 0.500
```

=====

Y2Sn3Mo4C3: optimized geometry, GGA-PBE.

As for the crystal system: monoclinic.

```
Y2Sn3Mo4C3
1.0
4.990 -2.900 0.000
4.990 2.900 0.000
-3.314 0.000 13.866
Y Sn Mo C
4 6 8 6
Direct
0.036 0.877 0.608
0.123 0.964 0.892
0.877 0.036 0.108
0.964 0.123 0.392
0.084 0.343 0.750
0.343 0.084 0.250
0.491 0.509 0.250
0.509 0.491 0.750
0.657 0.916 0.750
0.916 0.657 0.250
0.191 0.346 0.071
0.301 0.487 0.429
0.346 0.191 0.571
0.487 0.301 0.929
0.513 0.699 0.071
0.654 0.809 0.429
0.699 0.513 0.571
0.809 0.654 0.929
0.000 0.500 0.500
0.174 0.651 0.000
0.349 0.826 0.500
0.500 0.000 0.000
0.651 0.174 0.500
0.826 0.349 0.000
```

=====

ZnSnMo4C2: optimized geometry, GGA-PBE.

As for the crystal system: hexagonal.

```
ZnSnMo4C2
1.0
3.130 0.000 0.000
-1.565 2.711 0.000
0.000 0.000 13.380
Zn Sn Mo C
1 1 4 2
Direct
0.000 0.000 0.000
0.333 0.667 0.500
0.000 0.000 0.327
0.000 0.000 0.673
0.333 0.667 0.159
0.333 0.667 0.841
0.667 0.333 0.242
0.667 0.333 0.758
```

=====

| no. | total moment (μB/f.u.) | DFT total energy (eV/atom) |
| --- | --- | --- |
| 1 | 0.01 | -8.1541 |
| 2 | 0.01 | -8.1453 |
| 3 | 0.02 | -8.9662 |
| 4 | 0.00 | -9.8289 |
| 5 | 0.00 | -8.1160 |
| 6 | 0.01 | -8.6930 |
| 7 | 0.00 | -8.1132 |
| 8 | 0.00 | -8.1269 |
| 9 | 0.00 | -8.6908 |
| 10 | 0.02 | -8.6630 |
| 11 | 0.00 | -6.1005 |
| 12 | 0.01 | -9.0011 |
| 13 | 0.00 | -9.2907 |
| 14 | 0.00 | -9.2460 |
| 15 | 0.00 | -8.9828 |
| 16 | 0.00 | -7.6977 |
| 17 | 0.00 | -8.2510 |
| 18 | 0.01 | -8.3622 |